NaMg2Hg: optimized geometry, PBE-GGA.

## Properties
- Symmetry: Immm
- ΔE_f: 0.0138 eV/atom

Cell: 7.1356 7.1356 7.1356 Å, 154.61 135.76 51.69°
Closest atoms and distances in Å follow each position.
Atoms (fractional coordinates):
1 Na 0.0000 0.0000 0.0000  4 Hg 3.11, 2 Na 3.14
2 Mg 0.2763 0.2763 0.0000  1 Hg 2.87, 6 Mg 3.14-3.18
3 Mg 0.7237 0.7237 0.0000  1 Hg 2.87, 6 Mg 3.14-3.18
4 Hg 0.5000 0.5000 0.0000  2 Mg 2.87, 4 Na 3.11, 2 Hg 3.14

=====

Zr2BiPd2: optimized geometry, PBE-GGA.

## Properties
- Symmetry: I4/mmm
- ΔE_f: -0.3249 eV/atom
- Relative energy among the computed polymorphs: 0.210 eV per atom

Cell: 6.4095 6.4095 6.4095 Å, 138.47 138.47 60.18°
Closest atoms and distances in Å follow each position.
Atoms (fractional coordinates):
1 Zr 0.2500 0.7500 0.5000  4 Pd 2.72
2 Zr 0.7500 0.2500 0.5000  4 Pd 2.72
3 Bi 0.0000 0.0000 0.0000  8 Pd 3.46, 8 Zr 3.58
4 Pd 0.3842 0.3842 0.0000  1 Pd 2.57, 4 Zr 2.72
5 Pd 0.6158 0.6158 0.0000  1 Pd 2.57, 4 Zr 2.72

=====

HfZr2TiN: optimized geometry, PBE-GGA.

## Properties
- Uncorrected formation energy: -0.691 eV/atom
- Symmetry: P4/mmm

Cell: 4.6293 4.6293 4.1310 Å, 90.00 90.00 90.00°
Closest atoms and distances in Å follow each position.
Atoms (fractional coordinates):
1 Hf 0.0000 0.0000 0.0000  8 Zr 3.10, 4 Ti 3.27
2 Zr 0.0000 0.5000 0.5000  2 N 2.31
3 Zr 0.5000 0.0000 0.5000  2 N 2.31
4 Ti 0.5000 0.5000 0.0000  2 N 2.07
5 N 0.5000 0.5000 0.5000  2 Ti 2.07

=====

Cs2PdPt2: optimized geometry, PBE-GGA.

## Properties
- Symmetry: P4/mbm
- ΔE_f: 0.1552 eV/atom
- Relative energy among the computed polymorphs: 0.308 eV per atom

Cell: 6.8954 6.8954 5.7798 Å, 90.00 90.00 90.00°
Closest atoms and distances in Å follow each position.
Atoms (fractional coordinates):
1 Cs 0.1837 0.3163 0.0000  6 Pt 3.41-3.63, 5 Cs 3.57-3.58
2 Cs 0.3163 0.8163 0.0000  6 Pt 3.41-3.63, 5 Cs 3.57-3.58
3 Cs 0.6837 0.1837 0.0000  6 Pt 3.41-3.63, 5 Cs 3.57-3.58
4 Cs 0.8163 0.6837 0.0000  6 Pt 3.41-3.63, 5 Cs 3.57-3.58
5 Pd 0.0000 0.0000 0.5000  4 Pt 2.70
6 Pd 0.5000 0.5000 0.5000  4 Pt 2.70
7 Pt 0.1305 0.6305 0.5000  1 Pt 2.54, 2 Pd 2.70
8 Pt 0.3695 0.1305 0.5000  1 Pt 2.54, 2 Pd 2.70
9 Pt 0.6305 0.8695 0.5000  1 Pt 2.54, 2 Pd 2.70
10 Pt 0.8695 0.3695 0.5000  1 Pt 2.54, 2 Pd 2.70

=====

How do the records compare in total energy? In the order shown, they have -1.19 -6.60 -9.35 -3.64 eV per atom.
How do the records compare in total magnetization? In the order shown, they have 0.000 0.000 0.000 0.000 μB/cell.